[1]
# Y3HgC

An optimized crystal structure of Y3HgC (PBE, the Alexandria database).

Summary:
* E_form: -0.0239 eV/atom
* density: 6.23 g/cm3
* polymorph energy (0 for the lowest one): 405 meV per atom
* N(E_F): 19.77 states/eV/cell

Geometry as CIF:
```
data_Y3HgC
_space_group_name_H-M_alt 'C 1 2/m 1'
_space_group_IT_number 12
_cell_length_a 15.0778
_cell_length_b 3.8054
_cell_length_c 8.9225
_cell_angle_alpha 90.00
_cell_angle_beta 93.35
_cell_angle_gamma 90.00
loop_
_space_group_symop_operation_xyz
'x,y,z'
'-x,-y,-z'
'-x,y,-z'
'x,-y,z'
'x+1/2,y+1/2,z'
'-x+1/2,-y+1/2,-z'
'-x+1/2,y+1/2,-z'
'x+1/2,-y+1/2,z'
loop_
_atom_site_label
_atom_site_fract_x
_atom_site_fract_y
_atom_site_fract_z
Y1 0.0356 0.0000 0.2728
Y2 0.1352 0.5000 0.9547
Y3 0.2407 0.5000 0.3399
Hg1 0.0917 0.5000 0.5793
C1 0.1633 0.0000 0.4297
```

=====

[2]
# Mg2SbSe

An optimized crystal structure of Mg2SbSe (PBE, the Alexandria database).

Summary:
* density: 4.32 g/cm3
* E_form (uncorrected): -0.375 eV per atom
* polymorph energy (0 for the lowest one): 334 meV per atom
* N(E_F): 1.35 states/eV/cell

Geometry as CIF:
```
data_Mg2SbSe
_space_group_name_H-M_alt 'C 1 2/m 1'
_space_group_IT_number 12
_cell_length_a 6.4751
_cell_length_b 7.8905
_cell_length_c 4.0172
_cell_angle_alpha 90.00
_cell_angle_beta 110.93
_cell_angle_gamma 90.00
loop_
_space_group_symop_operation_xyz
'x,y,z'
'-x,-y,-z'
'-x,y,-z'
'x,-y,z'
'x+1/2,y+1/2,z'
'-x+1/2,-y+1/2,-z'
'-x+1/2,y+1/2,-z'
'x+1/2,-y+1/2,z'
loop_
_atom_site_label
_atom_site_fract_x
_atom_site_fract_y
_atom_site_fract_z
Mg1 0.2500 0.2500 0.0000
Sb1 0.0000 0.0000 0.5000
Se1 0.0000 0.5000 0.5000
```

=====

[3]
# Ca2Ac3Pb6

An optimized crystal structure of Ca2Ac3Pb6 (PBE, the Alexandria database).

Summary:
* E_form: -0.2335 eV/atom
* density: 8.38 g/cm3
* N(E_F): 12.05 states/eV/cell

Geometry as CIF:
```
data_Ca2Ac3Pb6
_space_group_name_H-M_alt 'I 4/m m m'
_space_group_IT_number 139
_space_group_name_Hall '-I 4 2'
_cell_length_a 5.2755
_cell_length_b 5.2755
_cell_length_c 28.5584
_cell_angle_alpha 90.00
_cell_angle_beta 90.00
_cell_angle_gamma 90.00
loop_
_atom_site_label
_atom_site_fract_x
_atom_site_fract_y
_atom_site_fract_z
Ca1 0.0000 0.0000 0.0564
Ac1 0.0000 0.0000 0.3070
Ac2 0.0000 0.0000 0.5000
Pb1 0.0000 0.0000 0.1894
Pb2 0.0000 0.5000 0.1132
```

=====

Which value of density does entry 1 give?
6.23 g/cm3